Ag3AsI2F6 (GGA-PBE, optimized geometry); E_form (uncorrected) = -1.36 eV/atom; calculated volume = 265 Å³ per cell; raw total energy = -3.654 eV/atom
1.0
7.167 -3.677 0.000
7.167 3.677 0.000
-0.670 0.000 5.029
Ag As I F
3 1 2 6
direct
0.000 0.000 0.000 Ag
0.000 0.500 0.500 Ag
0.500 0.000 0.500 Ag
0.500 0.500 0.500 As
0.190 0.190 0.122 I
0.810 0.810 0.878 I
0.271 0.615 0.291 F
0.385 0.729 0.709 F
0.404 0.404 0.689 F
0.596 0.596 0.311 F
0.615 0.271 0.291 F
0.729 0.385 0.709 F

***

SrCaOs2 (GGA-PBE, optimized geometry); calculated formation energy = 1172 meV/atom; calculated volume = 86 Å³ per cell; raw total energy = -5.364 eV/atom
1.0
0.000 3.509 3.509
3.509 0.000 3.509
3.509 3.509 0.000
Sr Ca Os
1 1 2
direct
0.000 0.000 0.000 Sr
0.500 0.500 0.500 Ca
0.250 0.250 0.250 Os
0.750 0.750 0.750 Os

***

CeZrSi (GGA-PBE, optimized geometry); E_form (uncorrected) = -0.23 eV/atom; calculated volume = 71 Å³ per cell; raw total energy = -6.862 eV/atom
1.0
4.617 0.000 0.000
-2.309 3.999 0.000
0.000 0.000 3.850
Ce Zr Si
1 1 1
direct
0.000 0.000 0.000 Ce
0.667 0.333 0.500 Zr
0.333 0.667 0.500 Si

***

Ac3Bi2Rh4 (GGA-PBE, optimized geometry); calculated formation energy = -600 meV/atom; calculated volume = 231 Å³ per cell; raw total energy = -6.099 eV/atom
1.0
5.413 -2.325 0.000
5.413 2.325 0.000
-0.814 0.000 9.175
Ac Bi Rh
3 2 4
direct
0.000 0.000 0.000 Ac
0.373 0.373 0.618 Ac
0.627 0.627 0.382 Ac
0.328 0.328 0.214 Bi
0.672 0.672 0.786 Bi
0.083 0.083 0.622 Rh
0.273 0.273 0.912 Rh
0.727 0.727 0.088 Rh
0.917 0.917 0.378 Rh

***

AsBr2 (GGA-PBE, optimized geometry); E_form (uncorrected) = 0.36 eV/atom; calculated volume = 160 Å³ per cell; raw total energy = -2.309 eV/atom
1.0
4.695 0.000 0.000
-2.347 4.066 0.000
0.000 0.000 8.402
As Br
2 4
direct
0.333 0.667 0.250 As
0.667 0.333 0.750 As
0.000 0.000 0.000 Br
0.000 0.000 0.500 Br
0.333 0.667 0.750 Br
0.667 0.333 0.250 Br

***

Sr5Li6 (GGA-PBE, optimized geometry); calculated formation energy = 38 meV/atom; calculated volume = 410 Å³ per cell; raw total energy = -1.770 eV/atom
1.0
2.611 -17.776 0.000
2.611 17.776 0.000
0.000 0.000 4.419
Sr Li
5 6
direct
0.000 0.000 0.000 Sr
0.194 0.806 0.500 Sr
0.381 0.619 0.000 Sr
0.619 0.381 0.000 Sr
0.806 0.194 0.500 Sr
0.085 0.915 0.500 Li
0.274 0.726 0.000 Li
0.460 0.540 0.500 Li
0.540 0.460 0.500 Li
0.726 0.274 0.000 Li
0.915 0.085 0.500 Li

***

TaTiCo2 (GGA-PBE, optimized geometry); calculated formation energy = 204 meV/atom; calculated volume = 115 Å³ per cell; raw total energy = -8.286 eV/atom
1.0
-3.287 3.287 2.671
3.287 -3.287 2.671
3.287 3.287 -2.671
Ta Ti Co
2 2 4
direct
0.000 0.000 0.000 Ta
0.750 0.250 0.500 Ta
0.250 0.750 0.500 Ti
0.500 0.500 0.000 Ti
0.133 0.625 0.008 Co
0.375 0.383 0.508 Co
0.617 0.125 0.992 Co
0.875 0.867 0.492 Co

***

TbPmGaAg (GGA-PBE, optimized geometry); calculated formation energy = -432 meV/atom; calculated volume = 99 Å³ per cell; raw total energy = -4.247 eV/atom
1.0
0.000 3.672 3.672
3.672 0.000 3.672
3.672 3.672 0.000
Tb Pm Ga Ag
1 1 1 1
direct
0.000 0.000 0.000 Tb
0.500 0.500 0.500 Pm
0.250 0.250 0.250 Ga
0.750 0.750 0.750 Ag